The following is a DFT calculation (PBE) of a relaxed YTlPdO2 crystal.

The structure in CIF format:
```
data_YTlPdO2
_cell_length_a 4.285
_cell_length_b 5.792
_cell_length_c 4.285
_cell_angle_alpha 90.00
_cell_angle_beta 90.00
_cell_angle_gamma 90.00
_symmetry_space_group_name_H-M 'P 1'
_symmetry_Int_Tables_number 1
_symmetry_space_group_name_Hall 'P 1'
loop_
_atom_site_label
_atom_site_type_symbol
_atom_site_fract_x
_atom_site_fract_y
_atom_site_fract_z
Y1 Y 0.000 0.000 0.000
O1 O 0.000 0.000 0.500
Tl1 Tl 0.500 0.500 0.500
O2 O 0.500 0.000 0.000
Pd1 Pd 0.000 0.500 0.000
```

Formation energy (no corrections)   -1.048 eV/atom